A plane-wave DFT calculation with PBE was carried out for an optimized crystal structure of Mg2Te.

```
6
Lattice="4.209 0.000 0.000 0.000 4.209 0.000 0.000 0.000 8.653" Properties=species:S:1:pos:R:3 pbc="T T T"
Mg 1.052 1.052 1.547
Mg 1.052 3.157 4.327
Mg 3.157 1.052 4.327
Mg 3.157 3.157 7.106
Te 1.052 1.052 7.204
Te 3.157 3.157 1.449
```

## Properties
SG: P4/nmm, No. 129
Formation energy from raw total energies in eV per atom: -0.3694

***

A plane-wave DFT calculation with PBE was carried out for an optimized crystal structure of Sr2CuMo.

```
8
Lattice="-4.242 4.242 3.208 4.242 -4.242 3.208 4.242 4.242 -3.208" Properties=species:S:1:pos:R:3 pbc="T T T"
Sr 2.121 1.838 -0.802
Sr 2.404 -2.121 4.010
Sr 2.121 2.404 2.406
Sr 1.838 6.362 0.802
Cu 0.000 0.000 0.000
Cu 0.000 4.242 1.604
Mo 4.242 0.000 1.604
Mo 0.000 0.000 3.208
```

## Properties
Energy above the lowest structure with this stoichiometry in eV/atom: 0.413
SG: I-42d, No. 122
Calculated formation energy in meV/atom: 1026

***

A plane-wave DFT calculation with PBE was carried out for an optimized crystal structure of AcTb3Pm12.

```
16
Lattice="5.165 0.000 0.000 0.000 5.165 0.000 0.000 0.000 20.671" Properties=species:S:1:pos:R:3 pbc="T T T"
Ac 0.000 0.000 0.000
Tb 0.000 0.000 5.234
Tb 0.000 0.000 10.335
Tb 0.000 0.000 15.436
Pm 0.000 2.582 2.700
Pm 0.000 2.582 7.790
Pm 0.000 2.582 12.881
Pm 0.000 2.582 17.971
Pm 2.582 0.000 2.700
Pm 2.582 0.000 7.790
Pm 2.582 0.000 12.881
Pm 2.582 0.000 17.971
Pm 2.582 2.582 0.000
Pm 2.582 2.582 5.264
Pm 2.582 2.582 10.335
Pm 2.582 2.582 15.407
```

## Properties
SG: P4/mmm, No. 123
Calculated formation energy in meV/atom: 21

***

Please write out number 1 again, unchanged.
A plane-wave DFT calculation with PBE was carried out for an optimized crystal structure of Mg2Te.

```
6
Lattice="4.209 0.000 0.000 0.000 4.209 0.000 0.000 0.000 8.653" Properties=species:S:1:pos:R:3 pbc="T T T"
Mg 1.052 1.052 1.547
Mg 1.052 3.157 4.327
Mg 3.157 1.052 4.327
Mg 3.157 3.157 7.106
Te 1.052 1.052 7.204
Te 3.157 3.157 1.449
```

## Properties
SG: P4/nmm, No. 129
Formation energy from raw total energies in eV per atom: -0.3694